(1)
The following is a PBE-GGA calculation of an optimized crystal structure of Sm12Ho5Tm, from Alexandria.

a b c (Å): 15.209 10.767 5.084
angles (deg): 90.00 89.99 45.07
Positions (direct):
1 Sm 0.001 0.667 0.000
2 Sm 0.832 0.667 0.500
3 Sm 0.668 0.333 0.000
4 Sm 0.999 0.333 0.000
5 Sm 0.332 0.667 0.000
6 Sm 0.334 0.000 0.000
7 Sm 0.666 0.000 0.000
8 Sm 0.501 0.667 0.500
9 Sm 0.168 0.333 0.500
10 Sm 0.165 0.000 0.500
11 Sm 0.499 0.333 0.500
12 Sm 0.835 0.000 0.500
13 Ho 0.667 0.667 0.000
14 Ho 0.333 0.333 0.000
15 Ho 0.833 0.333 0.500
16 Ho 0.500 0.000 0.500
17 Ho 0.167 0.667 0.500
18 Tm 0.000 0.000 0.000

(2)
The following is a PBE-GGA calculation of an optimized crystal structure of Sm3Ho7Tm2, from Alexandria.

a b c (Å): 3.542 5.789 18.653
angles (deg): 93.07 90.00 90.00
Positions (direct):
1 Tm 0.500 0.709 0.293
2 Tm 0.500 0.291 0.707
3 Ho 0.500 0.191 0.177
4 Ho 0.500 0.809 0.823
5 Ho 0.000 0.688 0.144
6 Ho 0.500 0.257 0.537
7 Ho 0.000 0.312 0.856
8 Ho 0.500 0.743 0.463
9 Ho 0.000 0.000 0.000
10 Sm 0.500 0.500 0.000
11 Sm 0.000 0.780 0.633
12 Sm 0.000 0.220 0.367

Output
The value obtained for the distance to the lowest polymorph of the same formula is 0 meV/atom.

ΔH_f (0 K) (computed, eV per atom): 0.019 0.090
DOS(E_F) (computed, states/eV/cell): 25.77 14.97